The following is a PBE calculation of an optimized crystal structure of TaPbAu2, from Alexandria via LeMat-Bulk.

Summary:
**Volume**: 88 Å³/f.u.
**DFT total energy**: -5.1470 eV per atom
**Formation energy from the elements**: 0.38 eV/atom
**Magnetic moment**: 0.00 μB/cell

```
data_TaPbAu2
_cell_length_a 7.722
_cell_length_b 7.722
_cell_length_c 5.882
_cell_angle_alpha 90.00
_cell_angle_beta 90.00
_cell_angle_gamma 90.00
_symmetry_space_group_name_H-M 'I -4 2 d'
_symmetry_Int_Tables_number 122
_symmetry_space_group_name_Hall 'I -4 2bw'
loop_
_atom_site_label
_atom_site_fract_x
_atom_site_fract_y
_atom_site_fract_z
Ta1 0.000 0.000 0.000
Pb1 0.000 0.000 0.500
Au1 0.228 0.750 0.125
```

The following is a PBE calculation of an optimized crystal structure of Er3Ga5S12, from Alexandria via LeMat-Bulk.

Summary:
**Volume**: 422 Å³/f.u.
**DFT total energy**: -5.0602 eV per atom
**ΔE_f (raw)**: -1.143 eV/atom
**Magnetic moment**: 0.00 μB/cell

```
data_Er3Ga5S12
_cell_length_a 15.006
_cell_length_b 15.006
_cell_length_c 15.006
_cell_angle_alpha 90.00
_cell_angle_beta 90.00
_cell_angle_gamma 90.00
_symmetry_space_group_name_H-M 'I a -3 d'
_symmetry_Int_Tables_number 230
_symmetry_space_group_name_Hall '-I 4bd 2c 3'
loop_
_atom_site_label
_atom_site_fract_x
_atom_site_fract_y
_atom_site_fract_z
Er1 0.000 0.250 0.125
Ga1 0.000 0.000 0.000
Ga2 0.000 0.250 0.375
S1 0.026 0.060 0.651
```

The following is a PBE calculation of an optimized crystal structure of CaPa2Ga6, from Alexandria via LeMat-Bulk.

Summary:
**Volume**: 184 Å³/f.u.
**DFT total energy**: -4.7066 eV per atom
**Formation energy from the elements**: -0.36 eV/atom
**Magnetic moment**: 0.00 μB/cell

```
data_CaPa2Ga6
_cell_length_a 7.8663
_cell_length_b 7.8663
_cell_length_c 3.4369
_cell_angle_alpha 90.00
_cell_angle_beta 90.00
_cell_angle_gamma 120.00
_symmetry_space_group_name_H-M 'P 6/m m m'
_symmetry_Int_Tables_number 191
_symmetry_space_group_name_Hall '-P 6 2'
loop_
_atom_site_label
_atom_site_fract_x
_atom_site_fract_y
_atom_site_fract_z
Ca1 0.0000 0.0000 0.0000
Pa1 0.3333 0.6667 0.0000
Ga1 0.0000 0.3355 0.5000
```

The following is a PBE calculation of an optimized crystal structure of LaMnSiBi, from Alexandria via LeMat-Bulk.

Summary:
**Volume**: 98 Å³/f.u.
**Energy above the most stable polymorph in this dataset**: 0.432 eV/atom
**DFT total energy**: -5.7291 eV per atom
**ΔE_f (raw)**: 0.121 eV/atom
**Magnetic moment**: 4.68 μB/cell

```
data_LaMnSiBi
_cell_length_a 4.091
_cell_length_b 4.091
_cell_length_c 11.682
_cell_angle_alpha 90.00
_cell_angle_beta 90.00
_cell_angle_gamma 90.00
_symmetry_space_group_name_H-M 'I 4 m m'
_symmetry_Int_Tables_number 107
_symmetry_space_group_name_Hall 'I 4 -2'
loop_
_atom_site_label
_atom_site_fract_x
_atom_site_fract_y
_atom_site_fract_z
La1 0.000 0.000 0.000
Mn1 0.000 0.000 0.483
Si1 0.000 0.000 0.284
Bi1 0.000 0.000 0.709
```